Record 1
# PBE AgPdSeN2, relaxed
data_AgPdSeN2
_chemical_formula_sum 'Ag1 Pd1 Se1 N2'
_space_group_name_H-M_alt 'P 4/m m m'
_space_group_IT_number 123
_space_group_name_Hall '-P 4 2'
_cell_length_a 3.838
_cell_length_b 3.838
_cell_length_c 5.922
_cell_angle_alpha 90.00
_cell_angle_beta 90.00
_cell_angle_gamma 90.00
loop_
_atom_site_label
_atom_site_type_symbol
_atom_site_fract_x
_atom_site_fract_y
_atom_site_fract_z
Ag1 Ag 0.000 0.000 0.000
Pd1 Pd 0.500 0.500 0.500
Se1 Se 0.500 0.500 0.000
N1 N 0.000 0.500 0.500
# Formation energy from raw total energies: 7.0 eV per formula unit
# Calculated volume: 87 Å³/f.u.
# Excess energy over the best structure of this formula in the dataset: 0.0 meV/atom
# Theoretical density: 6114 kg/m3

=====

Record 2
# PBE Sr2AgPdN, relaxed
data_Sr2AgPdN
_chemical_formula_sum 'Sr2 Ag1 Pd1 N1'
_space_group_name_H-M_alt 'P 4/m m m'
_space_group_IT_number 123
_space_group_name_Hall '-P 4 2'
_cell_length_a 5.373
_cell_length_b 5.373
_cell_length_c 4.007
_cell_angle_alpha 90.00
_cell_angle_beta 90.00
_cell_angle_gamma 90.00
loop_
_atom_site_label
_atom_site_type_symbol
_atom_site_fract_x
_atom_site_fract_y
_atom_site_fract_z
Sr1 Sr 0.000 0.500 0.000
Ag1 Ag 0.000 0.000 0.500
Pd1 Pd 0.500 0.500 0.500
N1 N 0.500 0.500 0.000
# Formation energy from raw total energies: -2.1 eV per formula unit
# Calculated volume: 116 Å³/f.u.
# Theoretical density: 5792 kg/m3

=====

Record 3
# PBE AgTe2PdN, relaxed
data_AgTe2PdN
_chemical_formula_sum 'Ag1 Te2 Pd1 N1'
_space_group_name_H-M_alt 'P 4/m m m'
_space_group_IT_number 123
_space_group_name_Hall '-P 4 2'
_cell_length_a 5.522
_cell_length_b 5.522
_cell_length_c 3.851
_cell_angle_alpha 90.00
_cell_angle_beta 90.00
_cell_angle_gamma 90.00
loop_
_atom_site_label
_atom_site_type_symbol
_atom_site_fract_x
_atom_site_fract_y
_atom_site_fract_z
Ag1 Ag 0.000 0.000 0.000
Te1 Te 0.000 0.500 0.000
Pd1 Pd 0.500 0.500 0.500
N1 N 0.000 0.000 0.500
# Formation energy from raw total energies: 5.7 eV per formula unit
# Calculated volume: 117 Å³/f.u.
# Excess energy over the best structure of this formula in the dataset: 494.8 meV/atom
# Theoretical density: 6838 kg/m3

=====

Record 4
# PBE AgTe2PdN, relaxed
data_AgTe2PdN
_chemical_formula_sum 'Ag1 Te2 Pd1 N1'
_space_group_name_H-M_alt 'P 4/m m m'
_space_group_IT_number 123
_space_group_name_Hall '-P 4 2'
_cell_length_a 5.625
_cell_length_b 5.625
_cell_length_c 3.665
_cell_angle_alpha 90.00
_cell_angle_beta 90.00
_cell_angle_gamma 90.00
loop_
_atom_site_label
_atom_site_type_symbol
_atom_site_fract_x
_atom_site_fract_y
_atom_site_fract_z
Ag1 Ag 0.000 0.000 0.000
Te1 Te 0.000 0.500 0.500
Pd1 Pd 0.500 0.500 0.500
N1 N 0.500 0.500 0.000
# Formation energy from raw total energies: 3.3 eV per formula unit
# Calculated volume: 116 Å³/f.u.
# Excess energy over the best structure of this formula in the dataset: 0.0 meV/atom
# Theoretical density: 6924 kg/m3

=====

Record 5
# PBE ZrAgPdN2, relaxed
data_ZrAgPdN2
_chemical_formula_sum 'Zr1 Ag1 Pd1 N2'
_space_group_name_H-M_alt 'P 4/m m m'
_space_group_IT_number 123
_space_group_name_Hall '-P 4 2'
_cell_length_a 4.074
_cell_length_b 4.074
_cell_length_c 4.791
_cell_angle_alpha 90.00
_cell_angle_beta 90.00
_cell_angle_gamma 90.00
loop_
_atom_site_label
_atom_site_type_symbol
_atom_site_fract_x
_atom_site_fract_y
_atom_site_fract_z
Zr1 Zr 0.000 0.000 0.000
Ag1 Ag 0.500 0.500 0.500
Pd1 Pd 0.500 0.500 0.000
N1 N 0.000 0.500 0.500
# Formation energy from raw total energies: 7.4 eV per formula unit
# Calculated volume: 80 Å³/f.u.
# Theoretical density: 6964 kg/m3

=====

Record 6
# PBE Pm2AgN, relaxed
data_Pm2AgN
_chemical_formula_sum 'Pm6 Ag3 N3'
_space_group_name_H-M_alt 'R -3 m'
_space_group_IT_number 166
_space_group_name_Hall '-R 3 2"'
_cell_length_a 3.6392
_cell_length_b 3.6392
_cell_length_c 23.0375
_cell_angle_alpha 90.00
_cell_angle_beta 90.00
_cell_angle_gamma 120.00
loop_
_atom_site_label
_atom_site_type_symbol
_atom_site_fract_x
_atom_site_fract_y
_atom_site_fract_z
Pm1 Pm 0.0000 0.0000 0.2270
Ag1 Ag 0.0000 0.0000 0.0000
N1 N 0.0000 0.0000 0.5000
# Formation energy from raw total energies: -2.9 eV per formula unit
# Calculated volume: 88 Å³/f.u.
# Excess energy over the best structure of this formula in the dataset: 0.0 meV/atom
# Theoretical density: 7764 kg/m3

=====

Record 7
# PBE Pm4Ag2N, relaxed
data_Pm4Ag2N
_chemical_formula_sum 'Pm8 Ag4 N2'
_space_group_name_H-M_alt 'I 4/m m m'
_space_group_IT_number 139
_space_group_name_Hall '-I 4 2'
_cell_length_a 4.963
_cell_length_b 4.963
_cell_length_c 14.848
_cell_angle_alpha 90.00
_cell_angle_beta 90.00
_cell_angle_gamma 90.00
loop_
_atom_site_label
_atom_site_type_symbol
_atom_site_fract_x
_atom_site_fract_y
_atom_site_fract_z
Pm1 Pm 0.000 0.000 0.171
Pm2 Pm 0.000 0.500 0.000
Ag1 Ag 0.000 0.000 0.371
N1 N 0.000 0.000 0.000
# Formation energy from raw total energies: -3.3 eV per formula unit
# Calculated volume: 183 Å³/f.u.
# Excess energy over the best structure of this formula in the dataset: 0.0 meV/atom
# Theoretical density: 7352 kg/m3

=====

Record 8
# PBE Pm2AgN, relaxed
data_Pm2AgN
_chemical_formula_sum 'Pm8 Ag4 N4'
_space_group_name_H-M_alt 'I m a 2'
_space_group_IT_number 46
_cell_length_a 5.089
_cell_length_b 10.135
_cell_length_c 7.287
_cell_angle_alpha 90.00
_cell_angle_beta 90.00
_cell_angle_gamma 90.00
loop_
_space_group_symop_operation_xyz
'x,y,z'
'-x,-y,z'
'-x+1/2,y,z'
'x+1/2,-y,z'
'x+1/2,y+1/2,z+1/2'
'-x+1/2,-y+1/2,z+1/2'
'-x,y+1/2,z+1/2'
'x,-y+1/2,z+1/2'
loop_
_atom_site_label
_atom_site_type_symbol
_atom_site_fract_x
_atom_site_fract_y
_atom_site_fract_z
Pm1 Pm 0.250 0.108 0.000
Pm2 Pm 0.250 0.683 0.157
Ag1 Ag 0.250 0.079 0.431
N1 N 0.250 0.621 0.470
# Formation energy from raw total energies: -2.8 eV per formula unit
# Calculated volume: 94 Å³/f.u.
# Excess energy over the best structure of this formula in the dataset: 15.3 meV/atom
# Theoretical density: 7278 kg/m3

=====

Record 9
# PBE PmAgN, relaxed
data_PmAgN
_chemical_formula_sum 'Pm2 Ag2 N2'
_space_group_name_H-M_alt 'I 4 m m'
_space_group_IT_number 107
_space_group_name_Hall 'I 4 -2'
_cell_length_a 4.147
_cell_length_b 4.147
_cell_length_c 7.183
_cell_angle_alpha 90.00
_cell_angle_beta 90.00
_cell_angle_gamma 90.00
loop_
_atom_site_label
_atom_site_type_symbol
_atom_site_fract_x
_atom_site_fract_y
_atom_site_fract_z
Pm1 Pm 0.000 0.000 0.000
Ag1 Ag 0.000 0.000 0.399
N1 N 0.000 0.000 0.697
# Formation energy from raw total energies: 0.9 eV per formula unit
# Calculated volume: 62 Å³/f.u.
# Theoretical density: 7176 kg/m3

=====

Record 10
# PBE Pm12Ag3N5, relaxed
data_Pm12Ag3N5
_chemical_formula_sum 'Pm96 Ag24 N40'
_space_group_name_H-M_alt 'I a -3 d'
_space_group_IT_number 230
_space_group_name_Hall '-I 4bd 2c 3'
_cell_length_a 15.960
_cell_length_b 15.960
_cell_length_c 15.960
_cell_angle_alpha 90.00
_cell_angle_beta 90.00
_cell_angle_gamma 90.00
loop_
_atom_site_label
_atom_site_type_symbol
_atom_site_fract_x
_atom_site_fract_y
_atom_site_fract_z
Pm1 Pm 0.037 0.051 0.648
Ag1 Ag 0.000 0.250 0.125
N1 N 0.000 0.000 0.000
N2 N 0.000 0.250 0.375
# Formation energy from raw total energies: -13.1 eV per formula unit
# Calculated volume: 508 Å³/f.u.
# Theoretical density: 6972 kg/m3

=====

Record 11
# PBE Pm3AgN, relaxed
data_Pm3AgN
_chemical_formula_sum 'Pm12 Ag4 N4'
_space_group_name_H-M_alt 'C m m m'
_space_group_IT_number 65
_space_group_name_Hall '-C 2 2'
_cell_length_a 9.595
_cell_length_b 13.750
_cell_length_c 3.714
_cell_angle_alpha 90.00
_cell_angle_beta 90.00
_cell_angle_gamma 90.00
loop_
_atom_site_label
_atom_site_type_symbol
_atom_site_fract_x
_atom_site_fract_y
_atom_site_fract_z
Pm1 Pm 0.000 0.192 0.000
Pm2 Pm 0.195 0.366 0.500
Ag1 Ag 0.000 0.000 0.500
Ag2 Ag 0.000 0.500 0.000
N1 N 0.250 0.250 0.000
# Formation energy from raw total energies: -3.1 eV per formula unit
# Calculated volume: 123 Å³/f.u.
# Excess energy over the best structure of this formula in the dataset: 70.0 meV/atom
# Theoretical density: 7549 kg/m3

=====

Record 12
# PBE Pm4Ag2N, relaxed
data_Pm4Ag2N
_chemical_formula_sum 'Pm8 Ag4 N2'
_space_group_name_H-M_alt 'P 1 21/m 1'
_space_group_IT_number 11
_cell_length_a 7.095
_cell_length_b 7.169
_cell_length_c 8.049
_cell_angle_alpha 90.00
_cell_angle_beta 106.41
_cell_angle_gamma 90.00
loop_
_space_group_symop_operation_xyz
'x,y,z'
'-x,-y,-z'
'-x,y+1/2,-z'
'x,-y+1/2,z'
loop_
_atom_site_label
_atom_site_type_symbol
_atom_site_fract_x
_atom_site_fract_y
_atom_site_fract_z
Pm1 Pm 0.013 0.007 0.254
Pm2 Pm 0.409 0.250 0.589
Pm3 Pm 0.419 0.250 0.119
Ag1 Ag 0.229 0.750 0.557
Ag2 Ag 0.242 0.750 0.060
N1 N 0.236 0.250 0.306
# Formation energy from raw total energies: -3.1 eV per formula unit
# Calculated volume: 196 Å³/f.u.
# Excess energy over the best structure of this formula in the dataset: 30.9 meV/atom
# Theoretical density: 6847 kg/m3

=====

Respective total magnetic moment values: 0.0, 0.0, 1.5, 0.0, 0.0, 0.0, 0.0, 0.0, 0.0, 0.0, 0.0, 0.0 μB per cell.